Here is a relaxed Ce3YCl crystal from Alexandria. Energies are from PBE.

a b c (Å): 5.355 5.355 5.355
angles (deg): 90.00 90.00 90.00
Fractional positions:
Ce1 0.000 0.000 0.500
Ce2 0.000 0.500 0.000
Ce3 0.500 0.000 0.000
Y1 0.500 0.500 0.500
Cl1 0.000 0.000 0.000

## Properties
formation energy without anion corrections = -1.80 eV per formula unit
uncorrected energy = -5.582 eV/atom

Here is a relaxed La4Pm4Y5 crystal from Alexandria. Energies are from PBE.

a b c (Å): 9.654 9.654 9.654
angles (deg): 94.12 94.12 148.91
Fractional positions:
La1 0.078 0.384 0.462
La2 0.384 0.922 0.306
La3 0.616 0.078 0.694
La4 0.922 0.616 0.538
Pm1 0.153 0.770 0.924
Pm2 0.230 0.153 0.383
Pm3 0.770 0.847 0.617
Pm4 0.847 0.230 0.076
Y1 0.000 0.000 0.000
Y2 0.311 0.539 0.850
Y3 0.461 0.311 0.772
Y4 0.539 0.689 0.228
Y5 0.689 0.461 0.150

## Properties
uncorrected energy = -5.442 eV/atom

Here is a relaxed SrBeNi2B crystal from Alexandria. Energies are from PBE.

a b c (Å): 4.028 4.028 5.366
angles (deg): 90.00 90.00 90.00
Fractional positions:
Sr1 0.000 0.000 0.000
Be1 0.000 0.000 0.500
Ni1 0.000 0.500 0.500
Ni2 0.500 0.000 0.500
B1 0.500 0.500 0.000

## Properties
uncorrected energy = -3.656 eV/atom

Here is a relaxed MnAsS2N crystal from Alexandria. Energies are from PBE.

a b c (Å): 4.840 4.840 3.647
angles (deg): 90.00 90.00 90.00
Fractional positions:
Mn1 0.000 0.000 0.000
As1 0.500 0.500 0.500
S1 0.000 0.500 0.500
S2 0.500 0.000 0.500
N1 0.500 0.500 0.000

## Properties
formation energy without anion corrections = 3.89 eV per formula unit
uncorrected energy = -5.301 eV/atom